Material: Cd5In2Pb2
Method: DFT, PBE
State: relaxed

Structure (extended XYZ):
```
9
Lattice="5.577 0.000 0.000 2.582 5.647 0.000 0.061 3.147 7.505" Properties=species:S:1:pos:R:3 pbc="T T T"
Cd 0.000 0.000 0.000
Cd 3.520 7.190 5.047
Cd 4.394 5.621 2.547
Cd 3.826 3.173 4.958
Cd 4.701 1.604 2.459
In 2.945 4.883 7.406
In 5.275 3.911 0.099
Pb 1.884 3.502 2.470
Pb 6.336 5.292 5.035
```

Output
- Formation energy from the elements: 0.046 eV/atom
- Crystal system: triclinic

Material: Eu2SnBi
Method: DFT, PBE
State: relaxed

Structure (extended XYZ):
```
4
Lattice="5.240 0.000 0.000 0.000 5.240 0.000 0.000 0.000 4.546" Properties=species:S:1:pos:R:3 pbc="T T T"
Eu 0.000 2.620 0.000
Eu 2.620 0.000 0.000
Sn 0.000 0.000 2.273
Bi 2.620 2.620 2.273
```

Output
- Excess energy over the best structure of this formula in the dataset: 0.0 meV per atom
- Formation energy from the elements: -0.698 eV/atom
- Crystal system: tetragonal

Material: AlCr2Ag
Method: DFT, PBE
State: relaxed

Structure (extended XYZ):
```
4
Lattice="1.342 0.775 9.048 -1.342 0.775 9.048 0.000 -1.549 9.048" Properties=species:S:1:pos:R:3 pbc="T T T"
Al 0.000 0.000 0.000
Cr 0.000 0.000 6.903
Cr 0.000 0.000 20.239
Ag 0.000 0.000 13.571
```

Output
- Formation energy from the elements: 0.432 eV/atom
- Crystal system: trigonal

Material: CoAgRu2
Method: DFT, PBE
State: relaxed

Structure (extended XYZ):
```
4
Lattice="2.660 -3.962 0.000 2.660 3.962 0.000 0.000 0.000 2.679" Properties=species:S:1:pos:R:3 pbc="T T T"
Co 0.000 0.000 0.000
Ag 2.660 0.000 0.000
Ru 1.330 1.981 1.340
Ru 1.330 -1.981 1.340
```

Output
- Formation energy from the elements: 0.587 eV/atom
- Crystal system: orthorhombic

Material: MgCrAg3
Method: DFT, PBE
State: relaxed

Structure (extended XYZ):
```
5
Lattice="4.993 0.000 0.000 0.000 4.993 0.000 0.000 0.000 4.993" Properties=species:S:1:pos:R:3 pbc="T T T"
Mg 0.000 0.000 0.000
Cr 2.497 2.497 2.497
Ag 0.000 2.497 2.497
Ag 2.497 0.000 2.497
Ag 2.497 2.497 0.000
```

Output
- Excess energy over the best structure of this formula in the dataset: 0.0 meV per atom
- Formation energy from the elements: 0.857 eV/atom
- Crystal system: cubic

Material: CdCoOs2
Method: DFT, PBE
State: relaxed

Structure (extended XYZ):
```
4
Lattice="2.701 -4.687 0.000 2.701 4.687 0.000 -1.263 0.000 2.382" Properties=species:S:1:pos:R:3 pbc="T T T"
Cd 0.000 0.000 0.000
Co 2.701 0.000 0.000
Os 0.719 2.343 1.191
Os 0.719 -2.343 1.191
```

Output
- Formation energy from the elements: 0.697 eV/atom
- Crystal system: monoclinic

Material: MnVCrRe
Method: DFT, PBE
State: relaxed

Structure (extended XYZ):
```
4
Lattice="0.000 2.941 2.941 2.941 0.000 2.941 2.941 2.941 0.000" Properties=species:S:1:pos:R:3 pbc="T T T"
Mn 0.000 0.000 0.000
V 1.471 1.471 1.471
Cr 4.412 4.412 4.412
Re 2.941 2.941 2.941
```

Output
- Formation energy from the elements: -0.093 eV/atom
- Crystal system: cubic

Material: HfGa8Mo2
Method: DFT, PBE
State: relaxed

Structure (extended XYZ):
```
11
Lattice="3.543 -5.804 0.000 3.543 5.804 0.000 -1.336 0.000 4.881" Properties=species:S:1:pos:R:3 pbc="T T T"
Hf 0.000 0.000 0.000
Ga 0.666 1.240 3.106
Ga 3.543 2.850 0.000
Ga 0.666 -1.240 3.106
Ga 2.509 0.000 1.155
Ga 3.240 0.000 3.726
Ga 5.084 1.240 1.775
Ga 3.543 -2.850 0.000
Ga 5.084 -1.240 1.775
Mo 2.875 2.482 2.440
Mo 2.875 -2.482 2.440
```

Output
- Formation energy from the elements: 0.102 eV/atom
- Crystal system: monoclinic

Material: PmHoBi2
Method: DFT, PBE
State: relaxed

Structure (extended XYZ):
```
4
Lattice="3.914 -2.263 0.000 3.914 2.263 0.000 -2.622 0.000 7.374" Properties=species:S:1:pos:R:3 pbc="T T T"
Pm 0.000 0.000 0.000
Ho 2.603 0.000 3.687
Bi -0.009 0.000 5.471
Bi 5.215 0.000 1.903
```

Output
- Excess energy over the best structure of this formula in the dataset: 0.0 meV per atom
- Formation energy from the elements: -0.886 eV/atom
- Crystal system: monoclinic

Material: NdHfBe17
Method: DFT, PBE
State: relaxed

Structure (extended XYZ):
```
19
Lattice="3.831 2.212 3.729 -3.831 2.212 3.729 0.000 -4.424 3.729" Properties=species:S:1:pos:R:3 pbc="T T T"
Nd 0.000 0.000 0.000
Hf 0.000 0.000 3.635
Be 0.000 -2.207 1.890
Be -1.911 1.104 1.890
Be -1.881 -1.086 5.502
Be 0.000 -2.180 5.472
Be -1.888 1.090 5.472
Be -1.059 -1.874 7.397
Be -2.153 0.020 7.397
Be 1.911 1.104 1.890
Be 0.000 0.000 6.295
Be 1.881 -1.086 5.502
Be 0.000 2.172 5.502
Be 1.059 -1.874 7.397
Be -1.093 1.854 7.397
Be 0.000 0.000 8.425
Be 1.888 1.090 5.472
Be 2.153 0.020 7.397
Be 1.093 1.854 7.397
```

Output
- Formation energy from the elements: -0.137 eV/atom
- Crystal system: trigonal

Material: KRbInBi
Method: DFT, PBE
State: relaxed

Structure (extended XYZ):
```
4
Lattice="4.675 -3.060 0.000 4.675 3.060 0.000 -3.746 0.000 5.654" Properties=species:S:1:pos:R:3 pbc="T T T"
K 0.000 0.000 0.000
Rb -0.233 0.000 3.957
In 3.024 0.000 2.396
Bi 6.075 0.000 1.606
```

Output
- Excess energy over the best structure of this formula in the dataset: 0.0 meV per atom
- Formation energy from the elements: -0.199 eV/atom
- Crystal system: monoclinic

Material: Li2PmZnPd
Method: DFT, PBE
State: relaxed

Structure (extended XYZ):
```
5
Lattice="-2.002 2.032 6.081 2.002 -2.032 6.081 2.002 2.032 -6.081" Properties=species:S:1:pos:R:3 pbc="T T T"
Li 0.000 0.000 0.000
Li 0.000 2.032 1.757
Pm 2.002 0.000 3.326
Zn 0.000 0.000 6.086
Pd 0.000 2.032 4.354
```

Output
- Formation energy from the elements: -0.331 eV/atom
- Crystal system: orthorhombic

Q: Which of these has the highest formation energy from the elements?
A: MgCrAg3

Q: Number 2 is which compound?
A: Eu2SnBi

Q: What is the formula in the first record?
A: Cd5In2Pb2